# 1
CaSeO4 PBE-GGA optimized geometry; space-group type = No. 141; ΔE_f (raw) = -1643.5 meV/atom; crystal system = tetragonal; density of states at the Fermi level = 0.000 states/eV/cell; final energy = -5.863 eV per atom
1.0
5.861 -0.082 -1.711
-3.314 4.834 -1.711
0.044 0.082 6.105
O Ca Se
8 2 2
direct
0.085 0.762 0.677
0.665 0.488 0.823
0.665 0.841 0.177
0.085 0.409 0.323
0.238 0.915 0.323
0.512 0.335 0.177
0.591 0.915 0.677
0.159 0.335 0.823
0.000 0.000 0.000
0.750 0.250 0.500
0.500 0.500 0.000
0.250 0.750 0.500

=====

# 2
CaSeO4 PBE-GGA optimized geometry; space-group type = No. 64; ΔE_f (raw) = -1645.8 meV/atom; crystal system = orthorhombic; density of states at the Fermi level = 0.000 states/eV/cell; final energy = -5.866 eV per atom
1.0
2.667 2.454 7.362
-4.726 4.235 -5.202
-5.283 -2.514 2.752
O Se Ca
16 4 4
direct
0.281 0.719 0.744
0.559 0.797 0.047
0.203 0.441 0.047
0.297 0.059 0.547
0.540 0.460 0.291
0.719 0.281 0.256
0.703 0.941 0.453
0.059 0.297 0.453
0.219 0.781 0.244
0.941 0.703 0.547
0.441 0.203 0.953
0.797 0.559 0.953
0.960 0.040 0.791
0.781 0.219 0.756
0.460 0.540 0.709
0.040 0.960 0.209
0.876 0.124 0.615
0.624 0.376 0.115
0.376 0.624 0.885
0.124 0.876 0.385
0.625 0.375 0.620
0.125 0.875 0.880
0.375 0.625 0.380
0.875 0.125 0.120

=====

# 3
Ca2SeO5 PBE-GGA optimized geometry; space-group type = No. 63; ΔE_f (raw) = -1804.7 meV/atom; offset from the most stable computed form = 0.20 eV per formula unit; crystal system = orthorhombic; final energy = -5.840 eV per atom
1.0
4.034 0.000 0.000
-2.017 5.637 0.000
0.000 0.000 10.231
O Ca Se
10 4 2
direct
0.947 0.893 0.873
0.725 0.450 0.880
0.725 0.450 0.620
0.053 0.107 0.127
0.053 0.107 0.373
0.275 0.550 0.120
0.300 0.599 0.750
0.947 0.893 0.627
0.275 0.550 0.380
0.700 0.401 0.250
0.856 0.712 0.077
0.144 0.288 0.923
0.856 0.712 0.423
0.144 0.288 0.577
0.162 0.323 0.250
0.838 0.677 0.750

=====

# 4
CaSeO2 PBE-GGA optimized geometry; space-group type = No. 122; ΔE_f (raw) = -1170.9 meV/atom; crystal system = tetragonal; density of states at the Fermi level = 0.004 states/eV/cell; final energy = -5.022 eV per atom
1.0
-4.392 0.195 1.227
-0.544 -4.355 -1.255
-0.901 -3.979 5.897
Se Ca O
2 2 4
direct
0.750 0.250 0.500
0.000 0.000 0.000
0.250 0.750 0.500
0.500 0.500 0.000
0.375 0.339 0.750
0.875 0.911 0.750
0.089 0.625 0.250
0.661 0.125 0.250

=====

# 5
CaSeO3 PBE-GGA optimized geometry; space-group type = No. 221; ΔE_f (raw) = 55.8 meV/atom; crystal system = cubic; density of states at the Fermi level = 5.882 states/eV/cell; final energy = -4.016 eV per atom
1.0
-3.612 1.135 -1.907
-2.195 -1.297 3.386
0.323 3.873 1.693
Ca O Se
1 3 1
direct
0.000 0.000 0.000
0.500 0.000 0.000
0.000 0.000 0.500
0.000 0.500 0.000
0.500 0.500 0.500

=====

# 6
Ca3SeO PBE-GGA optimized geometry; space-group type = No. 221; ΔE_f (raw) = -1516.1 meV/atom; offset from the most stable computed form = 0.00 eV per formula unit; crystal system = cubic; density of states at the Fermi level = 4.920 states/eV/cell; final energy = -4.406 eV per atom
1.0
-2.306 -4.075 -1.116
3.890 -1.552 -2.372
1.648 -2.038 4.037
Ca O Se
3 1 1
direct
0.500 0.000 0.000
0.000 0.500 0.000
0.000 0.000 0.500
0.000 0.000 0.000
0.500 0.500 0.500

=====

# 7
CaSeO3 PBE-GGA optimized geometry; space-group type = No. 221; ΔE_f (raw) = -1419.8 meV/atom; crystal system = cubic; density of states at the Fermi level = 0.000 states/eV/cell; final energy = -5.492 eV per atom
1.0
-1.588 2.176 2.890
-0.934 -3.296 1.969
3.495 0.108 1.839
Se O Ca
1 3 1
direct
0.000 0.000 0.000
0.000 0.500 0.000
0.500 0.000 0.000
0.000 0.000 0.500
0.500 0.500 0.500

=====

# 8
CaSe2O5 PBE-GGA optimized geometry; space-group type = No. 61; ΔE_f (raw) = -1476.6 meV/atom; crystal system = orthorhombic; density of states at the Fermi level = 0.000 states/eV/cell; final energy = -5.697 eV per atom
1.0
-5.583 -3.394 1.192
4.030 -8.294 -4.746
5.623 -4.693 12.977
O Se Ca
40 16 8
direct
0.121 0.943 0.563
0.741 0.310 0.180
0.209 0.989 0.293
0.709 0.511 0.293
0.621 0.557 0.563
0.291 0.489 0.707
0.621 0.057 0.937
0.241 0.190 0.180
0.249 0.225 0.864
0.209 0.489 0.207
0.251 0.225 0.364
0.609 0.684 0.977
0.109 0.316 0.523
0.791 0.011 0.707
0.709 0.011 0.207
0.749 0.275 0.864
0.109 0.816 0.977
0.259 0.190 0.680
0.249 0.725 0.636
0.291 0.989 0.793
0.741 0.810 0.320
0.791 0.511 0.793
0.879 0.557 0.063
0.751 0.775 0.136
0.891 0.684 0.477
0.259 0.690 0.820
0.379 0.943 0.063
0.379 0.443 0.437
0.609 0.184 0.523
0.391 0.816 0.477
0.121 0.443 0.937
0.391 0.316 0.023
0.241 0.690 0.320
0.751 0.275 0.364
0.759 0.310 0.680
0.879 0.057 0.437
0.749 0.775 0.636
0.891 0.184 0.023
0.759 0.810 0.820
0.251 0.725 0.136
0.348 0.373 0.918
0.110 0.135 0.271
0.110 0.635 0.229
0.152 0.873 0.082
0.610 0.865 0.229
0.152 0.373 0.418
0.652 0.127 0.418
0.390 0.635 0.729
0.890 0.865 0.729
0.610 0.365 0.271
0.390 0.135 0.771
0.890 0.365 0.771
0.652 0.627 0.082
0.848 0.627 0.582
0.348 0.873 0.582
0.848 0.127 0.918
0.053 0.859 0.406
0.553 0.641 0.406
0.947 0.641 0.906
0.053 0.359 0.094
0.947 0.141 0.594
0.447 0.359 0.594
0.553 0.141 0.094
0.447 0.859 0.906

=====

# 9
Ca3Se2O8 PBE-GGA optimized geometry; space-group type = No. 166; ΔE_f (raw) = -1718.0 meV/atom; crystal system = trigonal; density of states at the Fermi level = 0.569 states/eV/cell; final energy = -5.767 eV per atom
1.0
-2.669 -0.353 -5.181
-5.762 -0.911 -0.261
-3.739 5.427 -1.734
O Ca Se
8 3 2
direct
0.743 0.743 0.301
0.214 0.743 0.301
0.257 0.257 0.699
0.671 0.671 0.986
0.329 0.329 0.014
0.743 0.214 0.301
0.786 0.257 0.699
0.257 0.786 0.699
0.204 0.204 0.388
0.000 0.000 0.000
0.796 0.796 0.612
0.425 0.425 0.726
0.575 0.575 0.274

=====

# 10
CaSeO4 PBE-GGA optimized geometry; space-group type = No. 88; ΔE_f (raw) = -1626.5 meV/atom; crystal system = tetragonal; density of states at the Fermi level = 0.000 states/eV/cell; final energy = -5.846 eV per atom
1.0
-2.744 2.069 -6.047
3.431 -1.700 -5.806
-2.220 -3.272 5.722
O Se Ca
8 2 2
direct
0.667 0.292 0.110
0.708 0.819 0.375
0.307 0.917 0.875
0.181 0.557 0.890
0.443 0.333 0.625
0.569 0.693 0.610
0.083 0.958 0.390
0.042 0.431 0.125
0.500 0.500 0.000
0.250 0.750 0.500
0.750 0.250 0.500
0.000 0.000 0.000

=====

# 11
CaSeO3 PBE-GGA optimized geometry; space-group type = No. 62; ΔE_f (raw) = -1876.2 meV/atom; crystal system = orthorhombic; density of states at the Fermi level = 0.000 states/eV/cell; final energy = -5.948 eV per atom
1.0
-1.892 -3.635 -3.556
3.493 -4.661 2.906
-6.525 -1.665 5.173
O Ca Se
12 4 4
direct
0.702 0.082 0.750
0.129 0.174 0.908
0.298 0.918 0.250
0.798 0.582 0.750
0.871 0.826 0.408
0.371 0.674 0.908
0.129 0.174 0.592
0.202 0.418 0.250
0.629 0.326 0.408
0.871 0.826 0.092
0.371 0.674 0.592
0.629 0.326 0.092
0.000 0.500 0.500
0.500 0.000 0.000
0.000 0.500 0.000
0.500 0.000 0.500
0.516 0.469 0.250
0.016 0.031 0.750
0.484 0.531 0.750
0.984 0.969 0.250

=====

# 12
CaSeO2 PBE-GGA optimized geometry; space-group type = No. 166; ΔE_f (raw) = -1606.7 meV/atom; crystal system = trigonal; density of states at the Fermi level = 1.264 states/eV/cell; final energy = -5.457 eV per atom
1.0
5.361 2.362 3.065
4.870 -0.695 4.417
6.440 -0.397 1.441
Se O Ca
1 2 1
direct
0.000 0.000 0.000
0.900 0.900 0.900
0.100 0.100 0.100
0.500 0.500 0.500